! PBE-GGA Ce2Ni2BPt4, optimized geometry; values from VASP
&SYSTEM
  ibrav = 0, nat = 9, ntyp = 4
/
ATOMIC_SPECIES
Ce 140.12 Ce.upf
Ni 58.69 Ni.upf
B 10.81 B.upf
Pt 195.08 Pt.upf
CELL_PARAMETERS angstrom
-2.977 2.977 4.153
2.977 -2.977 4.153
2.977 2.977 -4.153
ATOMIC_POSITIONS crystal
Ce 0.250 0.750 0.500
Ce 0.750 0.250 0.500
Ni 0.244 0.244 0.000
Ni 0.756 0.756 0.000
B 0.500 0.500 0.000
Pt 0.241 0.241 0.482
Pt 0.241 0.759 0.000
Pt 0.759 0.241 0.000
Pt 0.759 0.759 0.518
! DFT formation energy: -0.69 eV per atom
! total magnetic moment: 0.91 μB per cell
! total energy: -60.5 eV/f.u.
! density: 13.4 Mg/m³